# 1
# PBE CuNiAs2, relaxed
data_CuNiAs2
_symmetry_space_group_name_H-M 'F m -3 m'
_symmetry_Int_Tables_number 225
_symmetry_space_group_name_Hall '-F 4 2 3'
_cell_length_a 6.1816
_cell_length_b 6.1816
_cell_length_c 6.1816
_cell_angle_alpha 90.00
_cell_angle_beta 90.00
_cell_angle_gamma 90.00
loop_
_atom_site_label
_atom_site_fract_x
_atom_site_fract_y
_atom_site_fract_z
Cu1 0.0000 0.0000 0.0000
Ni1 0.0000 0.0000 0.5000
As1 0.2500 0.2500 0.2500
# Uncorrected energy in eV/atom: -4.673

# 2
# PBE BaPrDy4Se8, relaxed
data_BaPrDy4Se8
_symmetry_space_group_name_H-M 'R 3 m'
_symmetry_Int_Tables_number 160
_symmetry_space_group_name_Hall 'R 3 -2"'
_cell_length_a 8.6069
_cell_length_b 8.6069
_cell_length_c 21.5152
_cell_angle_alpha 90.00
_cell_angle_beta 90.00
_cell_angle_gamma 120.00
loop_
_atom_site_label
_atom_site_fract_x
_atom_site_fract_y
_atom_site_fract_z
Ba1 0.0000 0.0000 0.0000
Pr1 0.0000 0.0000 0.6301
Dy1 0.0000 0.0000 0.2538
Dy2 0.1685 0.3371 0.4609
Se1 0.0000 0.0000 0.3856
Se2 0.0000 0.0000 0.8597
Se3 0.0390 0.5195 0.3877
Se4 0.1730 0.3460 0.2063
# Raw formation energy in eV/atom: -1.774

# 3
# PBE ZnSb, relaxed
data_ZnSb
_symmetry_space_group_name_H-M 'C m c m'
_symmetry_Int_Tables_number 63
_symmetry_space_group_name_Hall '-C 2c 2'
_cell_length_a 5.5713
_cell_length_b 6.4207
_cell_length_c 5.0152
_cell_angle_alpha 90.00
_cell_angle_beta 90.00
_cell_angle_gamma 90.00
loop_
_atom_site_label
_atom_site_fract_x
_atom_site_fract_y
_atom_site_fract_z
Zn1 0.0000 0.0999 0.2500
Sb1 0.0000 0.3520 0.7500
# Raw formation energy in eV/atom: 0.076

# 4
# PBE RbAcGa4, relaxed
data_RbAcGa4
_symmetry_space_group_name_H-M 'F -4 3 m'
_symmetry_Int_Tables_number 216
_symmetry_space_group_name_Hall 'F -4 2 3'
_cell_length_a 8.4004
_cell_length_b 8.4004
_cell_length_c 8.4004
_cell_angle_alpha 90.00
_cell_angle_beta 90.00
_cell_angle_gamma 90.00
loop_
_atom_site_label
_atom_site_fract_x
_atom_site_fract_y
_atom_site_fract_z
Rb1 0.0000 0.0000 0.0000
Ac1 0.2500 0.2500 0.2500
Ga1 0.1244 0.1244 0.6244
# Uncorrected energy in eV/atom: -3.043

# 5
# PBE Li2PrNd2Ge2, relaxed
data_Li2PrNd2Ge2
_symmetry_space_group_name_H-M 'R -3 m'
_symmetry_Int_Tables_number 166
_symmetry_space_group_name_Hall '-R 3 2"'
_cell_length_a 4.5592
_cell_length_b 4.5592
_cell_length_c 28.2788
_cell_angle_alpha 90.00
_cell_angle_beta 90.00
_cell_angle_gamma 120.00
loop_
_atom_site_label
_atom_site_fract_x
_atom_site_fract_y
_atom_site_fract_z
Li1 0.0000 0.0000 0.0999
Pr1 0.0000 0.0000 0.5000
Nd1 0.0000 0.0000 0.3730
Ge1 0.0000 0.0000 0.2359
# Uncorrected energy in eV/atom: -4.396

# 6
# PBE MnCd2GaNi, relaxed
data_MnCd2GaNi
_symmetry_space_group_name_H-M 'P 4/m m m'
_symmetry_Int_Tables_number 123
_symmetry_space_group_name_Hall '-P 4 2'
_cell_length_a 5.2116
_cell_length_b 5.2116
_cell_length_c 4.4708
_cell_angle_alpha 90.00
_cell_angle_beta 90.00
_cell_angle_gamma 90.00
loop_
_atom_site_label
_atom_site_fract_x
_atom_site_fract_y
_atom_site_fract_z
Mn1 0.0000 0.0000 0.0000
Cd1 0.0000 0.5000 0.0000
Ga1 0.5000 0.5000 0.5000
Ni1 0.0000 0.0000 0.5000
# Uncorrected energy in eV/atom: -3.211

# 7
# PBE ErZrAs2, relaxed
data_ErZrAs2
_symmetry_space_group_name_H-M 'R 3 m'
_symmetry_Int_Tables_number 160
_symmetry_space_group_name_Hall 'R 3 -2"'
_cell_length_a 3.8947
_cell_length_b 3.8947
_cell_length_c 20.5024
_cell_angle_alpha 90.00
_cell_angle_beta 90.00
_cell_angle_gamma 120.00
loop_
_atom_site_label
_atom_site_fract_x
_atom_site_fract_y
_atom_site_fract_z
Er1 0.0000 0.0000 0.0000
Zr1 0.0000 0.0000 0.8269
As1 0.0000 0.0000 0.4150
As2 0.0000 0.0000 0.5759
# Distance to the lowest polymorph of the same formula in eV/atom: 0.085

# 8
# PBE NaGeSe2, relaxed
data_NaGeSe2
_symmetry_space_group_name_H-M 'I -4 2 d'
_symmetry_Int_Tables_number 122
_symmetry_space_group_name_Hall 'I -4 2bw'
_cell_length_a 6.4038
_cell_length_b 6.4038
_cell_length_c 12.1807
_cell_angle_alpha 90.00
_cell_angle_beta 90.00
_cell_angle_gamma 90.00
loop_
_atom_site_label
_atom_site_fract_x
_atom_site_fract_y
_atom_site_fract_z
Na1 0.0000 0.0000 0.0000
Ge1 0.0000 0.0000 0.5000
Se1 0.1948 0.2500 0.6250
# Raw formation energy in eV/atom: -0.494